No. 1
An optimized crystal structure of CeThAs. Source: Alexandria, functional PBE.

a = 6.2079 Å, b = 5.3123 Å, c = 5.3123 Å
α = 119.95°, β = 90.00°, γ = 90.00°
Site moments in Bohr magnetons follow the coordinates.
Fractional coordinates of all 6 atoms:
Ce (0.5000, 0.0000, 0.0000)  0.49
Ce (0.0000, 0.0000, 0.0000)  0.49
As (0.2500, 0.3330, 0.6670)  0.00
As (0.7500, 0.6670, 0.3330)  0.00
Th (0.2500, 0.6665, 0.3335)  0.01
Th (0.7500, 0.3335, 0.6665)  0.01

Properties
Energy of formation from the pure elements, eV/atom: -0.665
DOS at the Fermi energy, states/eV per cell: 8.73
M_tot, μB/f.u.: 0.5

---

No. 2
An optimized crystal structure of CeTh5As6. Source: Alexandria, functional PBE.

a = 7.3582 Å, b = 7.3558 Å, c = 7.3589 Å
α = 60.01°, β = 80.40°, γ = 70.51°
Site moments in Bohr magnetons follow the coordinates.
Fractional coordinates of all 12 atoms:
As (0.2488, 0.9171, 0.6684)  0.00
As (0.2493, 0.2486, 0.0000)  0.00
As (0.7512, 0.0829, 0.3316)  0.00
As (0.7507, 0.7514, 0.0000)  0.00
As (0.7512, 0.4145, 0.6684)  0.00
As (0.2488, 0.5855, 0.3316)  0.00
Th (0.5000, 0.1671, 0.6658)  0.01
Th (0.0000, 0.3333, 0.3335)  0.01
Th (0.5000, 0.8329, 0.3342)  0.01
Th (0.0000, 0.6667, 0.6665)  0.01
Th (0.5000, 0.5000, 0.0000)  0.01
Ce (0.0000, 0.0000, 0.0000)  0.51

Properties
Energy of formation from the pure elements, eV/atom: -1.411
DOS at the Fermi energy, states/eV per cell: 11.12
M_tot, μB/f.u.: 0.6

---

> Look up the energy of formation from the pure elements of the first one.

-0.665 eV/atom

---

> Which formula does entry 2 have?

CeTh5As6